# ZrScBe17 PBE optimized geometry
data_ZrScBe17
_chemical_formula_sum 'Zr3 Sc3 Be51'
_symmetry_space_group_name_H-M 'R 3 m'
_symmetry_Int_Tables_number 160
_symmetry_space_group_name_Hall 'R 3 -2"'
_cell_length_a 7.5196
_cell_length_b 7.5196
_cell_length_c 10.9697
_cell_angle_alpha 90.00
_cell_angle_beta 90.00
_cell_angle_gamma 120.00
loop_
_atom_site_label
_atom_site_fract_x
_atom_site_fract_y
_atom_site_fract_z
Zr1 0.0000 0.0000 0.0000
Sc1 0.0000 0.0000 0.6753
Be1 0.0000 0.0000 0.2404
Be2 0.0000 0.0000 0.4342
Be3 0.9998 0.4999 0.1795
Be4 0.0007 0.2874 0.3376
Be5 0.0007 0.5004 0.4953
Be6 0.0020 0.5010 0.8364
# Formation energy from the elements = -4.16 eV/f.u.
# N(E_F) = 0.211 states/eV per atom